TaSn2Ge | PBE | optimized geometry

a = 6.379 Å, b = 6.379 Å, c = 12.497 Å
α = 90.00°, β = 90.00°, γ = 90.00°
Space group I-42d (No. 122)
Symmetry-distinct sites (fractional):
Ta (0.000, 0.000, 0.000) x4
Sn (0.247, 0.250, 0.625) x8
Ge (0.000, 0.000, 0.500) x4

Density ... 6.41 Mg/m³
E_form ... 0.8788 eV/atom
DFT total energy ... -5.24 eV/atom